# GGA-PBE TbTm2In3Fe3, relaxed
data_TbTm2In3Fe3
_symmetry_space_group_name_H-M 'A m m 2'
_symmetry_Int_Tables_number 38
_cell_length_a 3.8074
_cell_length_b 12.9012
_cell_length_c 7.4827
_cell_angle_alpha 90.00
_cell_angle_beta 90.00
_cell_angle_gamma 90.00
loop_
_symmetry_equiv_pos_as_xyz
'x,y,z'
'-x,-y,z'
'-x,y,z'
'x,-y,z'
'x,y+1/2,z+1/2'
'-x,-y+1/2,z+1/2'
'-x,y+1/2,z+1/2'
'x,-y+1/2,z+1/2'
loop_
_atom_site_label
_atom_site_fract_x
_atom_site_fract_y
_atom_site_fract_z
Tb1 0.0000 0.0000 0.0000
Tm1 0.0000 0.2026 0.3851
In1 0.5000 0.0000 0.3321
In2 0.5000 0.1302 0.7188
Fe1 0.0000 0.0000 0.5882
Fe2 0.5000 0.1684 0.0887
# Theoretical density, g cm⁻³: 9.1
# Total DFT energy (no corrections), hartree per atom: -0.1937

=====

# GGA-PBE TlCuReTe3, relaxed
data_TlCuReTe3
_symmetry_space_group_name_H-M 'C m c m'
_symmetry_Int_Tables_number 63
_symmetry_space_group_name_Hall '-C 2c 2'
_cell_length_a 3.8826
_cell_length_b 15.6790
_cell_length_c 10.2949
_cell_angle_alpha 90.00
_cell_angle_beta 90.00
_cell_angle_gamma 90.00
loop_
_atom_site_label
_atom_site_fract_x
_atom_site_fract_y
_atom_site_fract_z
Tl1 0.0000 0.2435 0.2500
Cu1 0.0000 0.4620 0.7500
Re1 0.0000 0.0000 0.0000
Te1 0.0000 0.0715 0.7500
Te2 0.0000 0.3784 0.5379
# Theoretical density, g cm⁻³: 8.9
# Total DFT energy (no corrections), hartree per atom: -0.1661

=====

# GGA-PBE Sc2NiC, relaxed
data_Sc2NiC
_symmetry_space_group_name_H-M 'C 1 2/c 1'
_symmetry_Int_Tables_number 15
_cell_length_a 9.8709
_cell_length_b 5.6956
_cell_length_c 13.4047
_cell_angle_alpha 90.00
_cell_angle_beta 104.54
_cell_angle_gamma 90.00
loop_
_symmetry_equiv_pos_as_xyz
'x,y,z'
'-x,-y,-z'
'-x,y,-z+1/2'
'x,-y,z+1/2'
'x+1/2,y+1/2,z'
'-x+1/2,-y+1/2,-z'
'-x+1/2,y+1/2,-z+1/2'
'x+1/2,-y+1/2,z+1/2'
loop_
_atom_site_label
_atom_site_fract_x
_atom_site_fract_y
_atom_site_fract_z
Sc1 0.0463 0.0817 0.3954
Sc2 0.1147 0.4148 0.5918
Sc3 0.2193 0.4181 0.9082
Ni1 0.0000 0.4062 0.7500
Ni2 0.2495 0.3329 0.2497
C1 0.0810 0.2424 0.0003
C2 0.2500 0.2500 0.5000
# Theoretical density, g cm⁻³: 4.4
# Total DFT energy (no corrections), hartree per atom: -0.2663

=====

> Which of these has the highest total DFT energy (no corrections)?

TlCuReTe3

=====

> total DFT energy (no corrections) of number 2 (TlCuReTe3)?

-0.1661 hartree per atom